# 1
Below is an optimized crystal structure of LaP2Pt8, with properties calculated at the PBE level.

a = 5.450 Å, b = 5.450 Å, c = 8.581 Å
α = 108.52°, β = 108.52°, γ = 90.00°
Positions (direct):
P  0.750  0.250  0.500
P  0.250  0.750  0.500
Pt  0.906  0.906  0.306
Pt  0.906  0.400  0.306
Pt  0.400  0.400  0.306
Pt  0.094  0.094  0.694
Pt  0.600  0.094  0.694
Pt  0.400  0.906  0.306
Pt  0.600  0.600  0.694
Pt  0.094  0.600  0.694
La  0.500  0.500  0.000

Values from the calculation:
* crystal system: tetragonal
* energy of formation: -320 meV per atom


# 2
Below is an optimized crystal structure of La2PPt, with properties calculated at the PBE level.

a = 3.658 Å, b = 3.655 Å, c = 7.237 Å
α = 87.68°, β = 90.00°, γ = 90.00°
Positions (direct):
P  0.500  0.500  0.500
Pt  0.500  0.500  0.000
La  0.000  0.013  0.740
La  0.000  0.987  0.260

Values from the calculation:
* crystal system: monoclinic
* energy of formation: -1153 meV per atom


# 3
Below is an optimized crystal structure of La2PPt, with properties calculated at the PBE level.

a = 9.910 Å, b = 9.910 Å, c = 5.805 Å
α = 90.00°, β = 90.00°, γ = 157.62°
Positions (direct):
La  0.552  0.448  0.750
La  0.315  0.685  0.750
La  0.685  0.315  0.250
La  0.448  0.552  0.250
P  0.937  0.063  0.750
P  0.063  0.937  0.250
Pt  0.303  0.697  0.250
Pt  0.697  0.303  0.750

Values from the calculation:
* crystal system: orthorhombic
* energy of formation: -1031 meV per atom


# 4
Below is an optimized crystal structure of La2PPt2, with properties calculated at the PBE level.

a = 8.174 Å, b = 8.174 Å, c = 3.776 Å
α = 90.00°, β = 90.00°, γ = 90.00°
Positions (direct):
La  0.179  0.321  0.000
La  0.821  0.679  0.000
La  0.679  0.179  0.000
La  0.321  0.821  0.000
Pt  0.120  0.620  0.500
Pt  0.380  0.120  0.500
Pt  0.880  0.380  0.500
Pt  0.620  0.880  0.500
P  0.000  0.000  0.000
P  0.500  0.500  0.000

Values from the calculation:
* distance to the lowest polymorph of the same formula: 0.2996 eV per atom
* crystal system: tetragonal
* energy of formation: -833 meV per atom


# 5
Below is an optimized crystal structure of La2PPt, with properties calculated at the PBE level.

a = 7.597 Å, b = 7.597 Å, c = 6.730 Å
α = 55.64°, β = 55.64°, γ = 90.00°
Positions (direct):
La  0.375  0.376  0.750
La  0.875  0.874  0.750
La  0.126  0.625  0.250
La  0.624  0.125  0.250
P  0.250  0.750  0.500
P  0.500  0.500  0.000
Pt  0.000  0.000  0.000
Pt  0.750  0.250  0.500

Values from the calculation:
* crystal system: tetragonal
* energy of formation: -977 meV per atom


# 6
Below is an optimized crystal structure of LaP3Pt6, with properties calculated at the PBE level.

a = 6.378 Å, b = 6.378 Å, c = 6.350 Å
α = 90.00°, β = 120.15°, γ = 120.00°
Positions (direct):
P  0.736  0.368  0.103
P  0.269  0.634  0.903
P  0.238  0.119  0.357
Pt  0.515  0.489  0.237
Pt  0.291  0.344  0.714
Pt  0.370  0.947  0.714
Pt  0.212  0.723  0.237
Pt  0.766  0.423  0.714
Pt  0.748  0.025  0.237
La  0.856  0.928  0.784

Values from the calculation:
* crystal system: trigonal
* energy of formation: -653 meV per atom


Q: What is the energy of formation in the third record?
A: -1031 meV per atom


Q: energy of formation of number 6 (LaP3Pt6)?
A: -653 meV per atom